DFT (PBE) results for crystalline NaHfC at its relaxed geometry.

```
NaHfC
1.0
-1.5943 1.8731 8.2097
1.5943 -1.8731 8.2097
1.5943 1.8731 -8.2097
Na Hf C
2 2 2
direct
0.2465 0.0000 0.2465
0.7535 0.0000 0.7535
0.3132 0.8132 0.5000
0.6868 0.1868 0.5000
0.1813 0.6813 0.5000
0.8187 0.3187 0.5000
```

Summary:
total energy	-6.22	eV/atom
spin magnetization	0.00	μB per cell
calculated volume	16.34	A^3/atom

DFT (PBE) results for crystalline KCu2NiPb at its relaxed geometry.

```
KCu2NiPb
1.0
4.9001 0.0000 0.0000
0.0000 4.9001 0.0000
0.0000 0.0000 5.9576
K Cu Ni Pb
1 2 1 1
direct
0.0000 0.0000 0.0000
0.0000 0.5000 0.0000
0.5000 0.0000 0.0000
0.5000 0.5000 0.5000
0.0000 0.0000 0.5000
```

Summary:
total energy	-1.92	eV/atom
spin magnetization	0.52	μB per cell
calculated volume	28.61	A^3/atom

DFT (PBE) results for crystalline Ce3ZrSb5 at its relaxed geometry.

```
Ce3ZrSb5
1.0
9.4098 0.0000 0.0000
-4.7049 8.1491 0.0000
0.0000 0.0000 6.3326
Ce Zr Sb
6 2 10
direct
0.0000 0.3846 0.2500
0.0000 0.6154 0.7500
0.3846 0.0000 0.2500
0.3846 0.3846 0.7500
0.6154 0.0000 0.7500
0.6154 0.6154 0.2500
0.0000 0.0000 0.0000
0.0000 0.0000 0.5000
0.0000 0.2673 0.7500
0.0000 0.7327 0.2500
0.2673 0.0000 0.7500
0.2673 0.2673 0.2500
0.3333 0.6667 0.0000
0.3333 0.6667 0.5000
0.6667 0.3333 0.0000
0.6667 0.3333 0.5000
0.7327 0.0000 0.2500
0.7327 0.7327 0.7500
```

Summary:
total energy	-6.17	eV/atom
spin magnetization	4.00	μB per cell
calculated volume	26.98	A^3/atom
formation energy without anion corrections	-0.952	eV/atom

DFT (PBE) results for crystalline KNa2Tc at its relaxed geometry.

```
KNa2Tc
1.0
0.0000 3.9715 3.9715
3.9715 0.0000 3.9715
3.9715 3.9715 0.0000
K Na Tc
1 2 1
direct
0.0000 0.0000 0.0000
0.2500 0.2500 0.2500
0.7500 0.7500 0.7500
0.5000 0.5000 0.5000
```

Summary:
total energy	-2.45	eV/atom
spin magnetization	3.40	μB per cell
calculated volume	31.32	A^3/atom
energy relative to the lowest polymorph listed for this composition	0	meV/atom

DFT (PBE) results for crystalline ScCo2Se at its relaxed geometry.

```
ScCo2Se
1.0
3.3497 0.0000 0.0000
0.0000 3.7141 0.0000
-1.6638 0.0000 4.8990
Sc Co Se
1 2 1
direct
0.0000 0.0000 0.0000
0.3351 0.5000 0.6689
0.7502 0.0000 0.5018
0.5990 0.5000 0.2001
```

Summary:
total energy	-6.29	eV/atom
spin magnetization	2.65	μB per cell
calculated volume	15.24	A^3/atom
formation energy without anion corrections	-0.288	eV/atom

DFT (PBE) results for crystalline Rb3BaP at its relaxed geometry.

```
Rb3BaP
1.0
6.8142 0.0000 0.0000
0.0000 6.8142 0.0000
0.0000 0.0000 6.8142
Rb Ba P
3 1 1
direct
0.0000 0.0000 0.5000
0.0000 0.5000 0.0000
0.5000 0.0000 0.0000
0.5000 0.5000 0.5000
0.0000 0.0000 0.0000
```

Summary:
total energy	-1.89	eV/atom
spin magnetization	0.00	μB per cell
calculated volume	63.28	A^3/atom
energy relative to the lowest polymorph listed for this composition	0	meV/atom

DFT (PBE) results for crystalline P2BrCl8 at its relaxed geometry.

```
P2BrCl8
1.0
7.0372 -4.2856 0.0000
7.0372 4.2856 0.0000
-4.0692 0.0000 7.3891
P Br Cl
2 1 8
direct
0.2213 0.2213 0.1543
0.7787 0.7787 0.8457
0.0000 0.0000 0.5000
0.0214 0.6482 0.7670
0.1339 0.1339 0.8538
0.3518 0.9786 0.2330
0.3892 0.3892 0.3323
0.6108 0.6108 0.6677
0.6482 0.0214 0.7670
0.8661 0.8661 0.1462
0.9786 0.3518 0.2330
```

Summary:
total energy	-2.97	eV/atom
spin magnetization	0.00	μB per cell
calculated volume	40.52	A^3/atom
formation energy without anion corrections	-0.494	eV/atom

DFT (PBE) results for crystalline RbTi2AuO at its relaxed geometry.

```
RbTi2AuO
1.0
4.9993 0.0000 0.0000
0.0000 4.9993 0.0000
0.0000 0.0000 4.3511
Rb Ti Au O
1 2 1 1
direct
0.0000 0.0000 0.0000
0.0000 0.5000 0.0000
0.5000 0.0000 0.0000
0.5000 0.5000 0.5000
0.0000 0.0000 0.5000
```

Summary:
total energy	-3.43	eV/atom
spin magnetization	3.55	μB per cell
calculated volume	21.75	A^3/atom
formation energy without anion corrections	1.565	eV/atom

DFT (PBE) results for crystalline Ba8Na2Au at its relaxed geometry.

```
Ba8Na2Au
1.0
11.2737 -3.2374 0.0000
11.2737 3.2374 0.0000
-2.6251 0.0000 7.9213
Ba Na Au
8 2 1
direct
0.0178 0.0178 0.2926
0.2071 0.2071 0.8042
0.3598 0.3598 0.5295
0.4138 0.4138 0.0844
0.5862 0.5862 0.9156
0.6402 0.6402 0.4705
0.7929 0.7929 0.1958
0.9822 0.9822 0.7074
0.1814 0.1814 0.2370
0.8186 0.8186 0.7630
0.5000 0.5000 0.5000
```

Summary:
total energy	-2.04	eV/atom
spin magnetization	0.00	μB per cell
calculated volume	52.56	A^3/atom
energy relative to the lowest polymorph listed for this composition	11	meV/atom

DFT (PBE) results for crystalline Rb2MgPd2 at its relaxed geometry.

```
Rb2MgPd2
1.0
7.0633 0.0000 0.0000
0.0000 7.0633 0.0000
0.0000 0.0000 5.6552
Rb Mg Pd
4 2 4
direct
0.1742 0.3258 0.0000
0.3258 0.8258 0.0000
0.6742 0.1742 0.0000
0.8258 0.6742 0.0000
0.0000 0.0000 0.5000
0.5000 0.5000 0.5000
0.1355 0.6355 0.5000
0.3645 0.1355 0.5000
0.6355 0.8645 0.5000
0.8645 0.3645 0.5000
```

Summary:
total energy	-2.76	eV/atom
spin magnetization	0.00	μB per cell
calculated volume	28.21	A^3/atom
energy relative to the lowest polymorph listed for this composition	0	meV/atom

DFT (PBE) results for crystalline CoRuCl2 at its relaxed geometry.

```
CoRuCl2
1.0
2.9018 -1.6746 0.0000
2.9018 1.6746 0.0000
-1.5569 0.0000 8.2724
Co Ru Cl
1 1 2
direct
0.0000 0.0000 0.0000
0.6231 0.6231 0.8341
0.2346 0.2346 0.6309
0.3801 0.3801 0.1765
```

Summary:
total energy	-4.99	eV/atom
spin magnetization	3.00	μB per cell
calculated volume	20.10	A^3/atom
formation energy without anion corrections	0.029	eV/atom
energy relative to the lowest polymorph listed for this composition	0	meV/atom

DFT (PBE) results for crystalline AgBi2F8 at its relaxed geometry.

```
AgBi2F8
1.0
3.5578 -5.1674 0.0000
3.5578 5.1674 0.0000
-1.4043 0.0000 4.3286
Ag Bi F
1 2 8
direct
0.0000 0.0000 0.0000
0.3084 0.6916 0.5000
0.6916 0.3084 0.5000
0.0629 0.3412 0.6096
0.2171 0.7829 0.0000
0.3250 0.3250 0.1862
0.3412 0.0629 0.6096
0.6588 0.9371 0.3904
0.6750 0.6750 0.8138
0.7829 0.2171 0.0000
0.9371 0.6588 0.3904
```

Summary:
total energy	-4.35	eV/atom
spin magnetization	1.02	μB per cell
calculated volume	14.47	A^3/atom
formation energy without anion corrections	-2.019	eV/atom
energy relative to the lowest polymorph listed for this composition	36	meV/atom

DFT (PBE) results for crystalline TePRuI2 at its relaxed geometry.

```
TePRuI2
1.0
5.2358 0.0000 0.0000
0.0000 5.2358 0.0000
0.0000 0.0000 5.3418
Te P Ru I
1 1 1 2
direct
0.0000 0.0000 0.0000
0.0000 0.0000 0.5000
0.5000 0.5000 0.0000
0.0000 0.5000 0.5000
0.5000 0.0000 0.5000
```

Summary:
total energy	-3.02	eV/atom
spin magnetization	3.54	μB per cell
calculated volume	29.29	A^3/atom
formation energy without anion corrections	1.165	eV/atom
energy relative to the lowest polymorph listed for this composition	290	meV/atom

DFT (PBE) results for crystalline ThAlTe2 at its relaxed geometry.

```
ThAlTe2
1.0
1.9774 1.1417 9.4155
-1.9774 1.1417 9.4155
0.0000 -2.2833 9.4155
Th Al Te
1 1 2
direct
0.0000 0.0000 0.0000
0.5000 0.5000 0.5000
0.1098 0.1098 0.1098
0.8902 0.8902 0.8902
```

Summary:
total energy	-4.56	eV/atom
spin magnetization	0.00	μB per cell
calculated volume	31.88	A^3/atom
formation energy without anion corrections	-0.198	eV/atom

DFT (PBE) results for crystalline CaTeW at its relaxed geometry.

```
CaTeW
1.0
-1.7473 1.7473 5.7685
1.7473 -1.7473 5.7685
1.7473 1.7473 -5.7685
Ca Te W
1 1 1
direct
0.0000 0.0000 0.0000
0.7058 0.7058 0.0000
0.3115 0.3115 0.0000
```

Summary:
total energy	-5.80	eV/atom
spin magnetization	0.00	μB per cell
calculated volume	23.48	A^3/atom
formation energy without anion corrections	0.232	eV/atom
energy relative to the lowest polymorph listed for this composition	0	meV/atom

DFT (PBE) results for crystalline PrTm2Sc at its relaxed geometry.

```
PrTm2Sc
1.0
3.0487 -1.7601 0.0000
3.0487 1.7601 0.0000
-2.0261 0.0000 11.2194
Pr Tm Sc
1 2 1
direct
0.0000 0.0000 0.0000
0.4237 0.4237 0.2670
0.5799 0.5799 0.7388
0.8356 0.8356 0.5042
```

Summary:
total energy	-4.98	eV/atom
spin magnetization	0.00	μB per cell
calculated volume	30.10	A^3/atom
energy relative to the lowest polymorph listed for this composition	4	meV/atom

DFT (PBE) results for crystalline Sb2CO at its relaxed geometry.

```
Sb2CO
1.0
-2.8949 2.8949 4.5231
2.8949 -2.8949 4.5231
2.8949 2.8949 -4.5231
Sb C O
4 2 2
direct
0.1105 0.6250 0.9855
0.3750 0.3605 0.4855
0.6395 0.1250 0.0145
0.8750 0.8895 0.5145
0.0000 0.0000 0.0000
0.7500 0.2500 0.5000
0.2500 0.7500 0.5000
0.5000 0.5000 0.0000
```

Summary:
total energy	-5.07	eV/atom
spin magnetization	0.00	μB per cell
calculated volume	18.95	A^3/atom
formation energy without anion corrections	0.534	eV/atom
energy relative to the lowest polymorph listed for this composition	0	meV/atom

DFT (PBE) results for crystalline Cs2ScBrF6 at its relaxed geometry.

```
Cs2ScBrF6
1.0
-3.6579 3.6579 4.1322
3.6579 -3.6579 4.1322
3.6579 3.6579 -4.1322
Cs Sc Br F
2 1 1 6
direct
0.2500 0.7500 0.5000
0.7500 0.2500 0.5000
0.0000 0.0000 0.0000
0.5000 0.5000 0.0000
0.1927 0.1927 0.3855
0.1927 0.8073 0.0000
0.2583 0.2583 0.0000
0.7417 0.7417 0.0000
0.8073 0.1927 0.0000
0.8073 0.8073 0.6145
```

Summary:
total energy	-4.89	eV/atom
spin magnetization	0.00	μB per cell
calculated volume	22.12	A^3/atom
formation energy without anion corrections	-2.797	eV/atom

DFT (PBE) results for crystalline CuW2Au at its relaxed geometry.

```
CuW2Au
1.0
4.8009 -1.4542 0.0000
4.8009 1.4542 0.0000
-0.8499 0.0000 4.4881
Cu W Au
1 2 1
direct
0.0000 0.0000 0.0000
0.2509 0.2509 0.7548
0.7491 0.7491 0.2452
0.5000 0.5000 0.5000
```

Summary:
total energy	-7.93	eV/atom
spin magnetization	0.00	μB per cell
calculated volume	15.67	A^3/atom
energy relative to the lowest polymorph listed for this composition	160	meV/atom

DFT (PBE) results for crystalline Sm2ZnGe at its relaxed geometry.

```
Sm2ZnGe
1.0
2.0914 1.2075 9.3851
-2.0914 1.2075 9.3851
0.0000 -2.4149 9.3851
Sm Zn Ge
2 1 1
direct
0.1110 0.1110 0.1110
0.8890 0.8890 0.8890
0.0000 0.0000 0.0000
0.5000 0.5000 0.5000
```

Summary:
total energy	-3.87	eV/atom
spin magnetization	0.00	μB per cell
calculated volume	35.55	A^3/atom

DFT (PBE) results for crystalline GeRhN2O at its relaxed geometry.

```
GeRhN2O
1.0
3.8085 0.0000 0.0000
0.0000 3.8085 0.0000
0.0000 0.0000 3.6660
Ge Rh N O
1 1 2 1
direct
0.0000 0.0000 0.0000
0.5000 0.5000 0.5000
0.0000 0.5000 0.0000
0.5000 0.0000 0.0000
0.0000 0.0000 0.5000
```

Summary:
total energy	-5.78	eV/atom
spin magnetization	0.59	μB per cell
calculated volume	10.63	A^3/atom
formation energy without anion corrections	0.939	eV/atom

DFT (PBE) results for crystalline BaNiTe2 at its relaxed geometry.

```
BaNiTe2
1.0
-2.3326 2.3326 5.3499
2.3326 -2.3326 5.3499
2.3326 2.3326 -5.3499
Ba Ni Te
1 1 2
direct
0.0000 0.0000 0.0000
0.2500 0.7500 0.5000
0.5000 0.5000 0.0000
0.7500 0.2500 0.5000
```

Summary:
total energy	-3.66	eV/atom
spin magnetization	0.00	μB per cell
calculated volume	29.11	A^3/atom
formation energy without anion corrections	-0.161	eV/atom

DFT (PBE) results for crystalline Ta2FeTe at its relaxed geometry.

```
Ta2FeTe
1.0
3.2955 0.0000 0.0000
0.0000 1.6611 6.7238
0.0000 -1.6611 6.7238
Ta Fe Te
2 1 1
direct
0.0000 0.0000 0.0000
0.5000 0.3680 0.3680
0.5000 0.5832 0.5832
0.0000 0.7436 0.7436
```

Summary:
total energy	-8.68	eV/atom
spin magnetization	1.02	μB per cell
calculated volume	18.40	A^3/atom
formation energy without anion corrections	0.151	eV/atom

DFT (PBE) results for crystalline Cd2GaSiB at its relaxed geometry.

```
Cd2GaSiB
1.0
5.1765 0.0000 0.0000
0.0000 5.1765 0.0000
0.0000 0.0000 3.6315
Cd Ga Si B
2 1 1 1
direct
0.0000 0.5000 0.0000
0.5000 0.0000 0.0000
0.0000 0.0000 0.5000
0.5000 0.5000 0.5000
0.5000 0.5000 0.0000
```

Summary:
total energy	-2.81	eV/atom
spin magnetization	0.00	μB per cell
calculated volume	19.46	A^3/atom
formation energy without anion corrections	0.577	eV/atom

DFT (PBE) results for crystalline H4PbI3N at its relaxed geometry.

```
H4PbI3N
1.0
10.6662 0.0000 0.0000
0.0000 4.8251 0.0000
0.0000 0.0000 19.1122
H Pb I N
16 4 12 4
direct
0.0443 0.2500 0.1577
0.0464 0.5765 0.7817
0.0464 0.9235 0.7817
0.0838 0.2500 0.2433
0.4162 0.7500 0.7433
0.4536 0.0765 0.2817
0.4536 0.4235 0.2817
0.4557 0.7500 0.6577
0.5443 0.2500 0.3423
0.5464 0.5765 0.7183
0.5464 0.9235 0.7183
0.5838 0.2500 0.2567
0.9162 0.7500 0.7567
0.9536 0.0765 0.2183
0.9536 0.4235 0.2183
0.9557 0.7500 0.8423
0.1485 0.2500 0.5718
0.3515 0.7500 0.0718
0.6485 0.2500 0.9282
0.8515 0.7500 0.4282
0.0632 0.2500 0.4041
0.1560 0.2500 0.0395
0.2179 0.2500 0.7360
0.2821 0.7500 0.2360
0.3440 0.7500 0.5395
0.4368 0.7500 0.9041
0.5632 0.2500 0.0959
0.6560 0.2500 0.4605
0.7179 0.2500 0.7640
0.7821 0.7500 0.2640
0.8440 0.7500 0.9605
0.9368 0.7500 0.5959
0.0094 0.2500 0.2088
0.4906 0.7500 0.7088
0.5094 0.2500 0.2912
0.9906 0.7500 0.7912
```

Summary:
total energy	-3.88	eV/atom
spin magnetization	0.00	μB per cell
calculated volume	27.32	A^3/atom
energy relative to the lowest polymorph listed for this composition	0	meV/atom